Record 1
BaLi6Mg2: optimized geometry, GGA-PBE.

Cell and atoms, written as CIF:
```
data_BaLi6Mg2
_chemical_formula_sum 'Ba1 Li6 Mg2'
_cell_length_a 7.7201
_cell_length_b 7.7201
_cell_length_c 7.7201
_cell_angle_alpha 142.82
_cell_angle_beta 118.38
_cell_angle_gamma 74.21
_space_group_name_H-M_alt 'P 1'
_space_group_IT_number 1
_space_group_name_Hall 'P 1'
loop_
_atom_site_label
_atom_site_fract_x
_atom_site_fract_y
_atom_site_fract_z
Ba1 0.0000 0.0000 0.0000
Li1 0.0914 0.2797 0.8118
Li2 0.3407 0.5000 0.8407
Li3 0.4679 0.2797 0.1882
Li4 0.5321 0.7203 0.8118
Li5 0.6593 0.5000 0.1593
Li6 0.9086 0.7203 0.1882
Mg1 0.3730 0.8730 0.5000
Mg2 0.6270 0.1270 0.5000
```

The size of the total moment is 0.000 μB per atom. As for the total energy: -1.771 eV/atom. As for the calculated formation energy: 7 kJ/mol of atoms.



Record 2
BaLi4Mg2: optimized geometry, GGA-PBE.

Cell and atoms, written as CIF:
```
data_BaLi4Mg2
_chemical_formula_sum 'Ba1 Li4 Mg2'
_cell_length_a 6.2684
_cell_length_b 6.2684
_cell_length_c 6.2684
_cell_angle_alpha 104.00
_cell_angle_beta 104.00
_cell_angle_gamma 121.08
_space_group_name_H-M_alt 'P 1'
_space_group_IT_number 1
_space_group_name_Hall 'P 1'
loop_
_atom_site_label
_atom_site_fract_x
_atom_site_fract_y
_atom_site_fract_z
Ba1 0.0000 0.0000 0.0000
Li1 0.3119 0.3119 0.6239
Li2 0.3119 0.6881 0.0000
Li3 0.6881 0.3119 0.0000
Li4 0.6881 0.6881 0.3761
Mg1 0.2500 0.7500 0.5000
Mg2 0.7500 0.2500 0.5000
```

The size of the total moment is 0.000 μB per atom. As for the total energy: -1.846 eV/atom. For the polymorph energy (0 for the lowest one), the calculation gives 0.000 eV/atom. As for the calculated formation energy: -2 kJ/mol of atoms.



Record 3
Ba2Li15Mg2: optimized geometry, GGA-PBE.

Cell and atoms, written as CIF:
```
data_Ba2Li15Mg2
_chemical_formula_sum 'Ba2 Li15 Mg2'
_cell_length_a 7.9071
_cell_length_b 7.9071
_cell_length_c 7.9071
_cell_angle_alpha 83.26
_cell_angle_beta 83.26
_cell_angle_gamma 83.26
_space_group_name_H-M_alt 'P 1'
_space_group_IT_number 1
_space_group_name_Hall 'P 1'
loop_
_atom_site_label
_atom_site_fract_x
_atom_site_fract_y
_atom_site_fract_z
Ba1 0.1493 0.1493 0.1493
Ba2 0.8507 0.8507 0.8507
Li1 0.0000 0.5000 0.5000
Li2 0.1610 0.1610 0.6345
Li3 0.1610 0.6345 0.1610
Li4 0.2214 0.5000 0.7786
Li5 0.2214 0.7786 0.5000
Li6 0.3655 0.8390 0.8390
Li7 0.5000 0.0000 0.5000
Li8 0.5000 0.2214 0.7786
Li9 0.5000 0.5000 0.0000
Li10 0.5000 0.7786 0.2214
Li11 0.6345 0.1610 0.1610
Li12 0.7786 0.2214 0.5000
Li13 0.7786 0.5000 0.2214
Li14 0.8390 0.3655 0.8390
Li15 0.8390 0.8390 0.3655
Mg1 0.4001 0.4001 0.4001
Mg2 0.5999 0.5999 0.5999
```

The size of the total moment is 0.000 μB per atom. As for the total energy: -1.876 eV/atom. As for the calculated formation energy: 1 kJ/mol of atoms.



Record 4
Ba3Li8Mg: optimized geometry, GGA-PBE.

Cell and atoms, written as CIF:
```
data_Ba3Li8Mg
_chemical_formula_sum 'Ba3 Li8 Mg1'
_cell_length_a 11.1433
_cell_length_b 11.1433
_cell_length_c 11.1433
_cell_angle_alpha 33.01
_cell_angle_beta 33.01
_cell_angle_gamma 33.01
_space_group_name_H-M_alt 'P 1'
_space_group_IT_number 1
_space_group_name_Hall 'P 1'
loop_
_atom_site_label
_atom_site_fract_x
_atom_site_fract_y
_atom_site_fract_z
Ba1 0.0000 0.0000 0.0000
Ba2 0.1306 0.1306 0.1306
Ba3 0.5150 0.5150 0.5150
Li1 0.0585 0.5675 0.5675
Li2 0.0784 0.0784 0.5643
Li3 0.0784 0.5643 0.0784
Li4 0.3163 0.3163 0.3163
Li5 0.5643 0.0784 0.0784
Li6 0.5675 0.0585 0.5675
Li7 0.5675 0.5675 0.0585
Li8 0.8220 0.8220 0.8220
Mg1 0.6324 0.6324 0.6324
```

The size of the total moment is 0.000 μB per atom. As for the total energy: -1.856 eV/atom. As for the calculated formation energy: 3 kJ/mol of atoms.



Record 5
Ba3LiMg2: optimized geometry, GGA-PBE.

Cell and atoms, written as CIF:
```
data_Ba3LiMg2
_chemical_formula_sum 'Ba3 Li1 Mg2'
_cell_length_a 4.3667
_cell_length_b 4.3667
_cell_length_c 13.3073
_cell_angle_alpha 90.00
_cell_angle_beta 90.00
_cell_angle_gamma 90.00
_space_group_name_H-M_alt 'P 1'
_space_group_IT_number 1
_space_group_name_Hall 'P 1'
loop_
_atom_site_label
_atom_site_fract_x
_atom_site_fract_y
_atom_site_fract_z
Ba1 0.0000 0.0000 0.0000
Ba2 0.0000 0.0000 0.3295
Ba3 0.0000 0.0000 0.6705
Li1 0.5000 0.5000 0.5000
Mg1 0.5000 0.5000 0.1650
Mg2 0.5000 0.5000 0.8350
```

The size of the total moment is 0.000 μB per atom. As for the total energy: -1.838 eV/atom. As for the calculated formation energy: -3 kJ/mol of atoms.



Record 6
BaLi8Mg2: optimized geometry, GGA-PBE.

Cell and atoms, written as CIF:
```
data_BaLi8Mg2
_chemical_formula_sum 'Ba1 Li8 Mg2'
_cell_length_a 10.4170
_cell_length_b 10.4170
_cell_length_c 5.0477
_cell_angle_alpha 90.12
_cell_angle_beta 90.12
_cell_angle_gamma 32.48
_space_group_name_H-M_alt 'P 1'
_space_group_IT_number 1
_space_group_name_Hall 'P 1'
loop_
_atom_site_label
_atom_site_fract_x
_atom_site_fract_y
_atom_site_fract_z
Ba1 0.0000 0.0000 0.0000
Li1 0.0713 0.5652 0.9999
Li2 0.1476 0.6248 0.5000
Li3 0.3752 0.8524 0.5000
Li4 0.4348 0.9287 0.0001
Li5 0.5652 0.0713 0.9999
Li6 0.6248 0.1476 0.5000
Li7 0.8524 0.3752 0.5000
Li8 0.9287 0.4348 0.0001
Mg1 0.2453 0.2453 0.5000
Mg2 0.7547 0.7547 0.5000
```

The size of the total moment is 0.000 μB per atom. As for the total energy: -1.786 eV/atom. For the polymorph energy (0 for the lowest one), the calculation gives 0.000 eV/atom. As for the calculated formation energy: 7 kJ/mol of atoms.